The following is a DFT calculation (PBEsol) of a relaxed structure of TlCuRe2.

Results
Calculated volume ... 64.74 Å³/f.u.
Formation energy ... 0.64 eV/atom
Uncorrected energy ... -7.76 eV per atom

Lattice parameters (Å, degrees): 2.7847 2.7847 9.2699 90.00 90.00 115.76
Last column: nearest neighbours and their distance in Å.
Sites, in units of the cell vectors:
Cu  0.5000  0.5000  0.2320  2 Re 2.60, 4 Cu 2.78, 2 Tl 2.82
Re  0.0000  0.0000  0.0017  6 Re 2.57-2.78, 2 Cu 2.60
Re  0.5000  0.5000  0.7752  6 Re 2.57-2.78
Tl  0.0000  0.0000  0.4912  6 Tl 2.78-2.96, 2 Cu 2.82, 2 Re 3.02